Record 1
Material: NbSbS2
Method: DFT, PBE
State: optimized geometry

The space group is P-1 (No. 2) and the conventional cell measures 3.328, 5.890 and 8.950 Å, with angles of 94.95, 100.52 and 90.01 degrees. The asymmetric unit holds Nb at (0.000, 0.000, 0.000), Nb at (0.500, 0.500, 0.000), Sb at (0.156, 0.750, 0.500), S at (0.086, 0.694, 0.180) and S at (0.409, 0.806, 0.820).

The value obtained for the density of states at the Fermi level is 0.4597 states/eV per atom. Its total energy is -50.3 eV per cell. The value obtained for the formation energy without anion corrections is -0.676 eV per atom. The total magnetic moment is 0.00 Bohr magnetons per cell.

Record 2
Material: Y2Ge3Rh2
Method: DFT, PBE
State: optimized geometry

The space group is C2/m (No. 12) and the conventional cell measures 10.162, 4.225 and 6.715 Å, with angles of 90.00, 114.25 and 90.00 degrees. The asymmetric unit holds Y at (0.152, 0.000, 0.277), Ge at (0.000, 0.500, 0.500), Ge at (0.119, 0.500, 0.948) and Rh at (0.133, 0.000, 0.722).

The value obtained for the density of states at the Fermi level is 0.5807 states/eV per atom. Its total energy is -93.9 eV per cell. The calculation puts the formation energy at -0.778 eV/atom. The total magnetic moment is 0.00 Bohr magnetons per cell.

Record 3
Material: Cr7Fe
Method: DFT, PBE
State: optimized geometry

The space group is R-3m (No. 166, hexagonal axes) and the conventional cell measures 8.0378, 8.0378 and 9.8428 Å, with angles of 90.00, 90.00 and 120.00 degrees. The asymmetric unit holds Cr at (0.0000, 0.0000, 0.1262), Cr at (0.0013, 0.5006, 0.8739), Cr at (0.0023, 0.5012, 0.6252) and Fe at (0.0000, 0.0000, 0.3741).

The value obtained for the density of states at the Fermi level is 0.9123 states/eV per atom. Its total energy is -452.9 eV per cell. The calculation puts the formation energy at 0.042 eV/atom. The total magnetic moment is 10.78 Bohr magnetons per cell.

Record 4
Material: CsTlSnPSe
Method: DFT, PBE
State: optimized geometry

The space group is Cm (No. 8) and the conventional cell measures 13.604, 5.661 and 4.843 Å, with angles of 90.00, 96.76 and 90.00 degrees. The asymmetric unit holds Cs at (0.000, 0.000, 0.000), Tl at (0.200, 0.500, 0.054), Sn at (0.349, 0.000, 0.464), P at (0.283, 0.000, 0.934) and Se at (0.042, 0.500, 0.513).

The value obtained for the density of states at the Fermi level is 0.2350 states/eV per atom. Its total energy is -35.1 eV per cell. The value obtained for the formation energy without anion corrections is -0.284 eV per atom. The total magnetic moment is 0.00 Bohr magnetons per cell.

Record 5
Material: BaNaCa2
Method: DFT, PBE
State: optimized geometry

The space group is I-42d (No. 122) and the conventional cell measures 5.255, 5.255 and 27.771 Å, with angles of 90.00, 90.00 and 90.00 degrees. The asymmetric unit holds Ba at (0.000, 0.000, 0.000), Na at (0.000, 0.000, 0.500) and Ca at (0.238, 0.250, 0.625).

The value obtained for the density of states at the Fermi level is 1.5159 states/eV per atom. Its total energy is -25.3 eV per cell. The calculation puts the formation energy at 0.232 eV/atom. The total magnetic moment is 0.00 Bohr magnetons per cell.

Record 6
Material: PmErBi
Method: DFT, PBE
State: optimized geometry

The space group is I4/mmm (No. 139) and the conventional cell measures 4.575, 4.575 and 17.471 Å, with angles of 90.00, 90.00 and 90.00 degrees. The asymmetric unit holds Pm at (0.000, 0.000, 0.177), Er at (0.000, 0.500, 0.000) and Bi at (0.000, 0.000, 0.365).

The value obtained for the density of states at the Fermi level is 1.5594 states/eV per atom. Its total energy is -60.1 eV per cell. The calculation puts the formation energy at -0.614 eV/atom. The total magnetic moment is 0.06 Bohr magnetons per cell.

Record 7
Material: SrSeBr2
Method: DFT, PBE
State: optimized geometry

The space group is Immm (No. 71) and the conventional cell measures 4.523, 4.900 and 13.545 Å, with angles of 90.00, 90.00 and 90.00 degrees. The asymmetric unit holds Sr at (0.000, 0.000, 0.000), Se at (0.000, 0.000, 0.500) and Br at (0.000, 0.500, 0.348).

The value obtained for the density of states at the Fermi level is 0.4404 states/eV per atom. Its total energy is -25.2 eV per cell. The value obtained for the formation energy without anion corrections is -1.022 eV per atom. The total magnetic moment is 2.55 Bohr magnetons per cell.

Record 8
Material: CsKCo3
Method: DFT, PBE
State: optimized geometry

The space group is Pm-3m (No. 221) and the conventional cell measures 5.064, 5.064 and 5.064 Å, with angles of 90.00, 90.00 and 90.00 degrees. The asymmetric unit holds Cs at (0.000, 0.000, 0.000), K at (0.500, 0.500, 0.500) and Co at (0.000, 0.500, 0.500).

The value obtained for the density of states at the Fermi level is 2.1840 states/eV per atom. Its total energy is -11.5 eV per cell. The calculation puts the formation energy at 2.347 eV/atom. The total magnetic moment is 4.82 Bohr magnetons per cell.